Ta3Mo6W2: optimized geometry, PBE-GGA.

Output
- Mass density: 12.8 g cm⁻³
- Energy: -243.04 eV for the cell shown
- Size of the total moment: 0.00 μB/f.u.
- Crystal system: orthorhombic
- Space-group type: No. 71
- Density of states at the Fermi level: 1.073 states/eV per atom

```
Ta3Mo6W2
1.0
-2.937 -7.469 4.888
2.451 -3.035 -3.166
6.671 0.464 4.718
W Mo Ta
4 12 6
Cartesian
1.024 -8.012 6.439
5.802 -4.013 6.387
0.382 -6.027 0.053
5.160 -2.028 0.001
1.248 -6.855 3.549
7.276 -4.404 1.883
4.936 -3.186 2.891
3.559 -6.694 5.184
1.174 -5.267 5.956
2.625 -3.347 1.256
2.916 -4.707 -1.200
0.531 -3.281 -0.427
5.010 -4.773 0.484
3.268 -5.333 7.641
-1.092 -5.637 4.557
5.653 -6.760 6.868
0.584 -3.592 3.895
-0.429 -8.898 4.213
3.092 -5.020 3.220
0.000 0.000 0.000
5.601 -6.449 2.545
6.613 -1.143 2.227
```